(1)
Sr2SbCl | GGA-PBE | optimized geometry

Unit cell a=6.7911 b=6.7911 c=9.1619 alpha=68.25 beta=68.25 gamma=90.00
Sites, in units of the cell vectors:
Sb  0.0000  0.0000  0.0000
Sb  0.7500  0.2500  0.5000
Cl  0.5000  0.5000  0.0000
Cl  0.2500  0.7500  0.5000
Sr  0.6103  0.1250  0.2500
Sr  0.1397  0.6250  0.2500
Sr  0.3750  0.3897  0.7500
Sr  0.8750  0.8603  0.7500

Values from the calculation:
- Raw formation energy: -1.32 eV/atom
- SG: No. 122
- Uncorrected energy: -3.65 eV per atom
- Magnetization: 0.000 μB per formula unit


(2)
Sr2SbCl | GGA-PBE | optimized geometry

Unit cell a=8.2520 b=8.2520 c=8.2520 alpha=149.42 beta=149.51 gamma=43.73
Sites, in units of the cell vectors:
Cl  0.4597  0.4597  0.0000
Sb  0.2054  0.7054  0.5000
Sr  0.0510  0.0510  0.0000
Sr  0.7839  0.2839  0.5000

Values from the calculation:
- Raw formation energy: -1.33 eV/atom
- SG: No. 44
- Uncorrected energy: -3.67 eV per atom
- Magnetization: 0.000 μB per formula unit


(3)
SrSb2TeCl | GGA-PBE | optimized geometry

Unit cell a=5.3376 b=5.3376 c=5.7725 alpha=90.00 beta=90.00 gamma=90.00
Sites, in units of the cell vectors:
Sb  0.0000  0.5000  0.0000
Sb  0.5000  0.0000  0.0000
Te  0.0000  0.0000  0.5000
Cl  0.0000  0.0000  0.0000
Sr  0.5000  0.5000  0.5000

Values from the calculation:
- Raw formation energy: -0.06 eV/atom
- SG: No. 123
- Uncorrected energy: -3.04 eV per atom
- ΔE to the lowest computed polymorph: 0 meV/atom
- Magnetization: 0.000 μB per formula unit


(4)
SrSb2TeCl | GGA-PBE | optimized geometry

Unit cell a=6.1773 b=6.1773 c=5.9604 alpha=90.00 beta=90.00 gamma=90.00
Sites, in units of the cell vectors:
Sb  0.0000  0.5000  0.0000
Sb  0.5000  0.0000  0.0000
Te  0.0000  0.0000  0.5000
Cl  0.5000  0.5000  0.5000
Sr  0.0000  0.0000  0.0000

Values from the calculation:
- Raw formation energy: 0.54 eV/atom
- SG: No. 123
- Uncorrected energy: -2.45 eV per atom
- ΔE to the lowest computed polymorph: 595 meV/atom
- Magnetization: 0.000 μB per formula unit


(5)
Sr4SbTeCl2 | GGA-PBE | optimized geometry

Unit cell a=4.7137 b=7.6896 c=8.1449 alpha=69.40 beta=90.00 gamma=90.00
Sites, in units of the cell vectors:
Sr  0.0000  0.7470  0.7576
Sr  0.0000  0.2530  0.2424
Sr  0.5000  0.7506  0.2438
Sr  0.5000  0.2494  0.7562
Sb  0.5000  0.5000  0.0000
Te  0.0000  0.5000  0.5000
Cl  0.0000  0.0000  0.0000
Cl  0.5000  0.0000  0.5000

Values from the calculation:
- Raw formation energy: -1.60 eV/atom
- SG: No. 10
- Uncorrected energy: -3.81 eV per atom
- Magnetization: 0.002 μB per formula unit


(6)
Sr4SbTe2Cl | GGA-PBE | optimized geometry

Unit cell a=6.6220 b=6.6220 c=8.2076 alpha=113.80 beta=113.80 gamma=89.98
Sites, in units of the cell vectors:
Sr  0.9390  0.4371  0.0000
Sr  0.4371  0.9390  0.0000
Sr  0.1782  0.1782  0.4820
Sr  0.6961  0.6961  0.5180
Sb  0.9370  0.9370  0.0000
Te  0.1870  0.6870  0.5000
Te  0.6870  0.1870  0.5000
Cl  0.4359  0.4359  0.0000

Values from the calculation:
- Raw formation energy: -1.69 eV/atom
- SG: No. 42
- Uncorrected energy: -4.07 eV per atom
- Magnetization: 0.000 μB per formula unit


(7)
SrYSb2Cl | GGA-PBE | optimized geometry

Unit cell a=5.7276 b=5.0867 c=5.7276 alpha=90.00 beta=90.00 gamma=90.00
Site moments in Bohr magnetons follow the coordinates.
Sites, in units of the cell vectors:
Y  0.5000  0.5000  0.5000  0.22
Sb  0.0000  0.0000  0.5000  -0.02
Sb  0.5000  0.0000  0.0000  -0.03
Cl  0.0000  0.0000  0.0000  0.00
Sr  0.0000  0.5000  0.0000  0.03

Values from the calculation:
- Raw formation energy: -0.23 eV/atom
- SG: No. 123
- Uncorrected energy: -3.88 eV per atom
- Magnetization: 0.468 μB per formula unit


(8)
TaSb3Cl | GGA-PBE | optimized geometry

Unit cell a=5.1286 b=5.1286 c=5.1286 alpha=90.00 beta=90.00 gamma=90.00
Site moments in Bohr magnetons follow the coordinates.
Sites, in units of the cell vectors:
Sb  0.0000  0.5000  0.0000  -0.06
Sb  0.0000  0.0000  0.5000  -0.06
Sb  0.5000  0.0000  0.0000  -0.03
Cl  0.0000  0.0000  0.0000  -0.01
Ta  0.5000  0.5000  0.5000  1.33

Values from the calculation:
- Raw formation energy: 1.27 eV/atom
- SG: No. 221
- Uncorrected energy: -3.94 eV per atom
- ΔE to the lowest computed polymorph: 1120 meV/atom
- Magnetization: 1.654 μB per formula unit


(9)
Ta4SbCl | GGA-PBE | optimized geometry

Unit cell a=5.6057 b=5.6057 c=5.6057 alpha=60.00 beta=60.00 gamma=60.00
Sites, in units of the cell vectors:
Ta  0.8708  0.3764  0.3764
Ta  0.3764  0.3764  0.8708
Ta  0.3764  0.8708  0.3764
Ta  0.3764  0.3764  0.3764
Sb  0.0000  0.0000  0.0000
Cl  0.7500  0.7500  0.7500

Values from the calculation:
- Raw formation energy: 0.75 eV/atom
- SG: No. 216
- Uncorrected energy: -8.14 eV per atom
- Magnetization: 0.000 μB per formula unit


(10)
TaSb3Cl | GGA-PBE | optimized geometry

Unit cell a=5.3269 b=5.3269 c=5.3269 alpha=90.00 beta=90.00 gamma=90.00
Sites, in units of the cell vectors:
Sb  0.0000  0.5000  0.0000
Sb  0.0000  0.0000  0.5000
Sb  0.5000  0.0000  0.0000
Cl  0.5000  0.5000  0.5000
Ta  0.0000  0.0000  0.0000

Values from the calculation:
- Raw formation energy: 0.15 eV/atom
- SG: No. 221
- Uncorrected energy: -5.06 eV per atom
- ΔE to the lowest computed polymorph: 0 meV/atom
- Magnetization: 0.000 μB per formula unit


(11)
TaSbTe2Cl | GGA-PBE | optimized geometry

Unit cell a=5.3002 b=5.3002 c=5.0644 alpha=90.00 beta=90.00 gamma=90.00
Site moments in Bohr magnetons follow the coordinates.
Sites, in units of the cell vectors:
Sb  0.0000  0.0000  0.5000  -0.09
Te  0.0000  0.5000  0.0000  -0.15
Te  0.5000  0.0000  0.0000  -0.15
Cl  0.0000  0.0000  0.0000  -0.03
Ta  0.5000  0.5000  0.5000  1.65

Values from the calculation:
- Raw formation energy: 1.32 eV/atom
- SG: No. 123
- Uncorrected energy: -3.51 eV per atom
- ΔE to the lowest computed polymorph: 1211 meV/atom
- Magnetization: 1.778 μB per formula unit


(12)
TaSbTe2Cl | GGA-PBE | optimized geometry

Unit cell a=5.3158 b=5.3158 c=5.4632 alpha=90.00 beta=90.00 gamma=90.00
Sites, in units of the cell vectors:
Sb  0.0000  0.0000  0.5000
Te  0.0000  0.5000  0.0000
Te  0.5000  0.0000  0.0000
Cl  0.5000  0.5000  0.5000
Ta  0.0000  0.0000  0.0000

Values from the calculation:
- Raw formation energy: 0.10 eV/atom
- SG: No. 123
- Uncorrected energy: -4.72 eV per atom
- ΔE to the lowest computed polymorph: 0 meV/atom
- Magnetization: 0.000 μB per formula unit


(13)
Tb6Sb5Cl | GGA-PBE | optimized geometry

Unit cell a=7.5631 b=7.5631 c=7.5535 alpha=99.57 beta=99.57 gamma=119.99
Sites, in units of the cell vectors:
Sb  0.8356  0.1644  0.5000
Sb  0.6670  0.3330  0.0000
Sb  0.5000  0.5000  0.5000
Sb  0.3330  0.6670  0.0000
Sb  0.1644  0.8356  0.5000
Tb  0.4258  0.0849  0.2540
Tb  0.9151  0.5742  0.7460
Tb  0.2562  0.2562  0.7457
Tb  0.7438  0.7438  0.2543
Tb  0.0849  0.4258  0.2540
Tb  0.5742  0.9151  0.7460
Cl  0.0000  0.0000  0.0000

Values from the calculation:
- Raw formation energy: -1.20 eV/atom
- SG: No. 12
- Uncorrected energy: -5.38 eV per atom
- Magnetization: 0.000 μB per formula unit


(14)
TbSbCl6 | GGA-PBE | optimized geometry

Unit cell a=7.1548 b=7.1548 c=6.6617 alpha=97.50 beta=97.50 gamma=124.54
Sites, in units of the cell vectors:
Tb  0.5000  0.5000  0.5000
Sb  0.0000  0.0000  0.0000
Cl  0.6083  0.8906  0.7499
Cl  0.8906  0.6083  0.7499
Cl  0.1094  0.3917  0.2501
Cl  0.3917  0.1094  0.2501
Cl  0.2498  0.2498  0.7489
Cl  0.7502  0.7502  0.2511

Values from the calculation:
- Raw formation energy: -1.53 eV/atom
- SG: No. 12
- Uncorrected energy: -4.01 eV per atom
- Magnetization: 0.000 μB per formula unit


(15)
TcSb2Cl | GGA-PBE | optimized geometry

Unit cell a=6.9765 b=6.9765 c=5.1632 alpha=65.33 beta=65.33 gamma=27.57
Sites, in units of the cell vectors:
Cl  0.1637  0.1637  0.2742
Sb  0.9774  0.9774  0.0088
Sb  0.8457  0.8457  0.6361
Tc  0.5132  0.5132  0.5809

Values from the calculation:
- Raw formation energy: 0.12 eV/atom
- SG: No. 8
- Uncorrected energy: -5.00 eV per atom
- ΔE to the lowest computed polymorph: 204 meV/atom
- Magnetization: 0.000 μB per formula unit


(16)
TcSb3Cl | GGA-PBE | optimized geometry

Unit cell a=5.1822 b=5.1822 c=5.1822 alpha=90.00 beta=90.00 gamma=90.00
Sites, in units of the cell vectors:
Sb  0.0000  0.5000  0.0000
Sb  0.0000  0.0000  0.5000
Sb  0.5000  0.0000  0.0000
Tc  0.0000  0.0000  0.0000
Cl  0.5000  0.5000  0.5000

Values from the calculation:
- Raw formation energy: 0.26 eV/atom
- SG: No. 221
- Uncorrected energy: -4.66 eV per atom
- ΔE to the lowest computed polymorph: 0 meV/atom
- Magnetization: 0.000 μB per formula unit


(17)
TcSb2Cl | GGA-PBE | optimized geometry

Unit cell a=6.8355 b=6.8355 c=6.8355 alpha=153.33 beta=140.04 gamma=48.69
Site moments in Bohr magnetons follow the coordinates.
Sites, in units of the cell vectors:
Cl  0.2500  0.7500  0.5000  -0.01
Sb  0.9306  0.9306  0.0000  -0.01
Sb  0.5694  0.5694  0.0000  -0.01
Tc  0.7500  0.2500  0.5000  0.66

Values from the calculation:
- Raw formation energy: 0.32 eV/atom
- SG: No. 71
- Uncorrected energy: -4.79 eV per atom
- ΔE to the lowest computed polymorph: 410 meV/atom
- Magnetization: 0.737 μB per formula unit


(18)
TcSbCl | GGA-PBE | optimized geometry

Unit cell a=3.2488 b=3.2488 c=7.8149 alpha=90.00 beta=90.00 gamma=120.00
Site moments in Bohr magnetons follow the coordinates.
Sites, in units of the cell vectors:
Cl  0.0000  0.0000  0.8976  0.09
Sb  0.6667  0.3333  0.4238  0.00
Tc  0.3333  0.6667  0.6785  0.51

Values from the calculation:
- Raw formation energy: 0.05 eV/atom
- SG: No. 156
- Uncorrected energy: -5.40 eV per atom
- ΔE to the lowest computed polymorph: 51 meV/atom
- Magnetization: 0.672 μB per formula unit


(19)
TcSbCl4 | GGA-PBE | optimized geometry

Unit cell a=5.8145 b=5.8145 c=5.8145 alpha=60.00 beta=60.00 gamma=60.00
Site moments in Bohr magnetons follow the coordinates.
Sites, in units of the cell vectors:
Tc  0.0000  0.0000  0.0000  3.68
Sb  0.7500  0.7500  0.7500  -0.29
Cl  0.8776  0.3741  0.3741  0.32
Cl  0.3741  0.3741  0.8776  0.32
Cl  0.3741  0.8776  0.3741  0.32
Cl  0.3741  0.3741  0.3741  0.32

Values from the calculation:
- Raw formation energy: 0.97 eV/atom
- SG: No. 216
- Uncorrected energy: -2.68 eV per atom
- Magnetization: 4.978 μB per formula unit


(20)
TcSb2Cl | GGA-PBE | optimized geometry

Unit cell a=5.1678 b=4.2405 c=4.2405 alpha=90.00 beta=90.00 gamma=90.00
Site moments in Bohr magnetons follow the coordinates.
Sites, in units of the cell vectors:
Cl  0.5000  0.0000  0.5000  0.02
Sb  0.0000  0.0000  0.0000  -0.07
Sb  0.0000  0.5000  0.5000  -0.07
Tc  0.5000  0.5000  0.0000  2.88

Values from the calculation:
- Raw formation energy: 0.72 eV/atom
- SG: No. 123
- Uncorrected energy: -4.40 eV per atom
- ΔE to the lowest computed polymorph: 804 meV/atom
- Magnetization: 2.997 μB per formula unit


(21)
TcSb2Cl | GGA-PBE | optimized geometry

Unit cell a=4.8924 b=4.8924 c=4.8924 alpha=60.00 beta=60.00 gamma=60.00
Site moments in Bohr magnetons follow the coordinates.
Sites, in units of the cell vectors:
Cl  0.5000  0.5000  0.5000  0.02
Sb  0.0000  0.0000  0.0000  -0.03
Sb  0.2500  0.2500  0.2500  -0.01
Tc  0.7500  0.7500  0.7500  0.57

Values from the calculation:
- Raw formation energy: 0.57 eV/atom
- SG: No. 216
- Uncorrected energy: -4.55 eV per atom
- ΔE to the lowest computed polymorph: 657 meV/atom
- Magnetization: 0.563 μB per formula unit


(22)
TcSb2Cl | GGA-PBE | optimized geometry

Unit cell a=3.3977 b=5.6834 c=5.6842 alpha=55.86 beta=90.00 gamma=90.00
Sites, in units of the cell vectors:
Cl  0.5000  0.6949  0.6949
Sb  0.0000  0.0114  0.0114
Sb  0.5000  0.2987  0.2988
Tc  0.0000  0.4950  0.4950

Values from the calculation:
- Raw formation energy: 0.04 eV/atom
- SG: No. 38
- Uncorrected energy: -5.07 eV per atom
- ΔE to the lowest computed polymorph: 129 meV/atom
- Magnetization: 0.000 μB per formula unit


(23)
TcSbCl | GGA-PBE | optimized geometry

Unit cell a=7.5171 b=7.5169 c=3.1103 alpha=78.06 beta=78.06 gamma=23.88
Sites, in units of the cell vectors:
Cl  0.0547  0.0547  0.9453
Sb  0.2842  0.2842  0.7158
Tc  0.6610  0.6610  0.3390

Values from the calculation:
- Raw formation energy: 0.14 eV/atom
- SG: No. 107
- Uncorrected energy: -5.31 eV per atom
- ΔE to the lowest computed polymorph: 140 meV/atom
- Magnetization: 0.004 μB per formula unit


(24)
TcSbCl3 | GGA-PBE | optimized geometry

Unit cell a=4.9356 b=4.9356 c=4.9356 alpha=90.00 beta=90.00 gamma=90.00
Site moments in Bohr magnetons follow the coordinates.
Sites, in units of the cell vectors:
Sb  0.5000  0.5000  0.5000  -0.83
Tc  0.0000  0.0000  0.0000  2.27
Cl  0.0000  0.5000  0.0000  0.03
Cl  0.0000  0.0000  0.5000  -0.03
Cl  0.5000  0.0000  0.0000  0.07

Values from the calculation:
- Raw formation energy: 0.21 eV/atom
- SG: No. 221
- Uncorrected energy: -3.80 eV per atom
- ΔE to the lowest computed polymorph: 0 meV/atom
- Magnetization: 0.622 μB per formula unit


(25)
TcSb2Cl | GGA-PBE | optimized geometry

Unit cell a=3.3133 b=3.3133 c=7.8429 alpha=90.00 beta=90.00 gamma=90.00
Sites, in units of the cell vectors:
Cl  0.5000  0.5000  0.7500
Sb  0.0000  0.0000  0.0454
Sb  0.0000  0.0000  0.4546
Tc  0.5000  0.5000  0.2500

Values from the calculation:
- Raw formation energy: -0.09 eV/atom
- SG: No. 123
- Uncorrected energy: -5.20 eV per atom
- ΔE to the lowest computed polymorph: 3 meV/atom
- Magnetization: 0.000 μB per formula unit


(26)
TcSb2Cl | GGA-PBE | optimized geometry

Unit cell a=3.4957 b=3.4957 c=7.6569 alpha=90.00 beta=90.00 gamma=90.00
Site moments in Bohr magnetons follow the coordinates.
Sites, in units of the cell vectors:
Cl  0.5000  0.5000  0.6915  0.03
Sb  0.0000  0.0000  0.0585  0.00
Sb  0.5000  0.5000  0.3036  -0.01
Tc  0.0000  0.0000  0.4464  0.53

Values from the calculation:
- Raw formation energy: 0.26 eV/atom
- SG: No. 99
- Uncorrected energy: -4.85 eV per atom
- ΔE to the lowest computed polymorph: 352 meV/atom
- Magnetization: 0.594 μB per formula unit


(27)
TcSb2Cl | GGA-PBE | optimized geometry

Unit cell a=9.4766 b=9.4766 c=9.4766 alpha=20.36 beta=20.36 gamma=20.36
Sites, in units of the cell vectors:
Cl  0.7717  0.7717  0.7717
Sb  0.9932  0.9932  0.9932
Sb  0.2339  0.2339  0.2339
Tc  0.5013  0.5013  0.5013

Values from the calculation:
- Raw formation energy: 0.16 eV/atom
- SG: No. 160
- Uncorrected energy: -4.96 eV per atom
- ΔE to the lowest computed polymorph: 246 meV/atom
- Magnetization: 0.000 μB per formula unit


(28)
TcSb2Cl | GGA-PBE | optimized geometry

Unit cell a=5.0797 b=5.0797 c=5.0797 alpha=125.36 beta=125.36 gamma=80.95
Site moments in Bohr magnetons follow the coordinates.
Sites, in units of the cell vectors:
Cl  0.7500  0.2500  0.5000  0.06
Sb  0.0000  0.0000  0.0000  -0.06
Sb  0.5000  0.5000  0.0000  -0.06
Tc  0.2500  0.7500  0.5000  1.73

Values from the calculation:
- Raw formation energy: 0.44 eV/atom
- SG: No. 139
- Uncorrected energy: -4.67 eV per atom
- ΔE to the lowest computed polymorph: 529 meV/atom
- Magnetization: 1.803 μB per formula unit


(29)
TcSb2Cl | GGA-PBE | optimized geometry

Unit cell a=5.1924 b=5.1924 c=3.0695 alpha=90.00 beta=90.00 gamma=89.97
Site moments in Bohr magnetons follow the coordinates.
Sites, in units of the cell vectors:
Cl  0.0000  0.5000  0.5000  -0.03
Sb  0.0000  0.0000  0.0000  0.00
Sb  0.5000  0.5000  0.0000  0.00
Tc  0.5000  0.0000  0.5000  1.10

Values from the calculation:
- Raw formation energy: 0.46 eV/atom
- SG: No. 123
- Uncorrected energy: -4.66 eV per atom
- ΔE to the lowest computed polymorph: 547 meV/atom
- Magnetization: 1.191 μB per formula unit